DFT (PBE+U) results for crystalline BaFeTeO6 at its relaxed geometry.

## Properties
Density   5.1 g/cm3
Total moment   2.012 μB per cell
VASP energy   -6.02 eV per atom

Cell lengths 5.1893, 5.1904, 5.8470 Å; angles 90.02, 90.03, 60.01 degrees
Site moments in Bohr magnetons follow the coordinates.
Atoms (fractional coordinates):
1 O 0.3922 0.6110 0.3111  -0.06
2 Fe 0.6666 0.6667 0.5000  2.43
3 O 0.9968 0.6110 0.6889  -0.06
4 O 0.9965 0.3924 0.3111  -0.06
5 Te 0.3333 0.3333 0.5000  0.01
6 O 0.6111 0.3924 0.6889  -0.06
7 O 0.3926 0.9967 0.6891  -0.06
8 Ba 0.0000 0.0000 0.0000  0.00
9 O 0.6106 0.9967 0.3109  -0.06